DFT (GGA+U) results for a relaxed structure of NaTeW2O8.

Geometry as CIF:
```
data_NaTeW2O8
_chemical_formula_sum 'Na2 Te2 W4 O16'
_space_group_name_H-M_alt 'C m m m'
_space_group_IT_number 65
_space_group_name_Hall '-C 2 2'
_cell_length_a 6.710
_cell_length_b 6.930
_cell_length_c 6.536
_cell_angle_alpha 90.00
_cell_angle_beta 90.00
_cell_angle_gamma 90.00
loop_
_atom_site_label
_atom_site_type_symbol
_atom_site_fract_x
_atom_site_fract_y
_atom_site_fract_z
Na1 Na 0.000 0.000 0.000
Te1 Te 0.000 0.000 0.500
W1 W 0.000 0.500 0.241
O1 O 0.000 0.307 0.500
O2 O 0.000 0.322 0.000
O3 O 0.213 0.000 0.273
```

Calculated values
ρ: 7.06 g/cm³
Total energy: -6.52 eV per atom